Density functional theory data (PBE) for a relaxed BeRuRh2 crystal.

- total magnetization (μB per formula unit) = 0.0
- energy (eV per atom) = -7.07
- SG = Imm2, No. 44

Cell lengths 4.9642, 4.9642, 4.2713 Å; angles 64.54, 64.54, 32.40 degrees
Last column: nearest neighbours and their distance in Å.
Element x y z (fractional)
Rh1 0.0358 0.0358 0.9646  2 Be 2.28
Rh2 0.2480 0.2480 0.2520  4 Be 2.54-2.55, 4 Ru 2.76-2.84, 6 Rh 2.77-2.82
Ru1 0.4680 0.4680 0.5321  2 Be 2.33, 2 Rh 2.61
Be1 0.7482 0.7482 0.7513  6 Rh 2.28-2.55, 2 Ru 2.33